No. 1
An optimized crystal structure of NdYIrRu. Source: Alexandria, functional PBE. Values from VASP.

```
&SYSTEM
  ibrav = 0, nat = 4, ntyp = 4
/
ATOMIC_SPECIES
Y 88.91 Y.upf
Ru 101.07 Ru.upf
Ir 192.22 Ir.upf
Nd 144.24 Nd.upf
ATOMIC_POSITIONS angstrom
Y 4.918 2.839 2.008
Ru 7.376 4.259 3.011
Ir 2.459 1.420 1.004
Nd 0.000 0.000 0.000
CELL_PARAMETERS angstrom
4.918 0.000 0.000
2.459 4.259 0.000
2.459 1.420 4.015
```

Summary:
- Formation enthalpy at 0 K: -0.428 eV per atom
- Volume: 21.02 Å³/atom
- Raw total energy: -7.7701 eV per atom

No. 2
An optimized crystal structure of Ce2SiTc. Source: Alexandria, functional PBE. Values from VASP.

```
&SYSTEM
  ibrav = 0, nat = 4, ntyp = 3
/
ATOMIC_SPECIES
Ce 140.12 Ce.upf
Si 28.09 Si.upf
Tc 98.00 Tc.upf
ATOMIC_POSITIONS angstrom
Ce 0.000 2.206 0.000
Ce 0.000 0.000 2.206
Si 2.069 0.000 0.000
Tc 2.069 2.206 2.206
CELL_PARAMETERS angstrom
4.138 0.000 0.000
0.000 4.411 0.000
0.000 0.000 4.411
```

Summary:
- Energy relative to the elements, uncorrected: -1.3 eV per formula unit
- Volume: 20.13 Å³/atom
- Raw total energy: -7.2471 eV per atom

Look up the raw total energy of the first one. -7.7701 eV per atom

What is the formula in the second record? Ce2SiTc